Entry 1:
Na2PuZnF8, relaxed, DFT PBE; ρ = 4.7 Mg/m³; final energy = -68.41 eV/f.u.
1.0
4.7491 -0.1417 -0.0028
-0.1478 5.3436 -0.0056
0.0040 0.0084 7.0791
Na Pu Zn F
2 1 1 8
direct
0.5001 0.5000 0.7720
0.4999 0.5000 0.2280
0.0000 0.0000 0.5000
0.0000 0.0000 0.0000
0.1702 0.8016 0.2602
0.7078 0.7479 0.0000
0.8298 0.1985 0.2602
0.8298 0.1984 0.7398
0.2922 0.2521 0.0000
0.1702 0.8015 0.7398
0.6561 0.7268 0.5000
0.3439 0.2732 0.5000

Entry 2:
RbNa3F, relaxed, DFT PBE; ρ = 0.9 Mg/m³; final energy = -6.37 eV/f.u.
1.0
-5.6942 -3.7802 1.3106
3.8107 -4.4295 3.7801
-1.2192 3.8106 5.6943
Na Rb F
3 1 1
direct
0.0000 0.5000 0.0000
0.0000 0.0000 0.5000
0.5000 0.0000 0.0000
0.0000 0.0000 0.0000
0.5000 0.5000 0.5000